w.
Material: Rb2InH
Method: DFT, PBE-GGA
State: optimized geometry

Output
- magnetic moment (Bohr magnetons per cell) = 1.5
- SG = Fm-3m (225)

Cell and atoms, written as POSCAR:
```
Rb2InH
1.0
0.0000 4.3221 4.3221
4.3221 0.0000 4.3221
4.3221 4.3221 0.0000
H Rb In
1 2 1
Cartesian
0.0000 0.0000 0.0000
2.1610 2.1610 2.1610
6.4831 6.4831 6.4831
4.3221 4.3221 4.3221
```

=====

x.
Material: Rb2InH
Method: DFT, PBE-GGA
State: optimized geometry

Output
- magnetic moment (Bohr magnetons per cell) = 0.0
- SG = I-42d (122)

Cell and atoms, written as POSCAR:
```
Rb2InH
1.0
8.4616 0.0000 0.0000
0.0000 8.4616 0.0000
4.2308 4.2308 4.6304
H Rb In
2 4 2
Cartesian
4.2308 4.2308 0.0000
4.2308 8.4616 2.3152
5.4339 2.1154 1.1576
3.0277 6.3462 1.1576
6.3462 7.2584 3.4728
10.5770 9.6647 3.4728
0.0000 0.0000 0.0000
8.4616 4.2308 2.3152
```

=====

Energy ordering: x at the bottom, the next structure 245 meV per atom above.